VASP calculation (PBE) on an optimized crystal structure of La8Co3OsBr4.

a = 9.2338 Å, b = 9.2338 Å, c = 9.2338 Å
α = 52.58°, β = 52.58°, γ = 52.58°
Closest atoms and distances in Å follow each position.
Element x y z (fractional)
La (0.2293, 0.2293, 0.2293)  3 Co 2.79
La (0.2299, 0.7324, 0.7324)  2 Co 2.82, 1 Os 2.83
La (0.2676, 0.2676, 0.7701)  2 Co 2.82, 1 Os 2.83
La (0.2676, 0.7701, 0.2676)  2 Co 2.82, 1 Os 2.83
La (0.7324, 0.2299, 0.7324)  2 Co 2.82, 1 Os 2.83
La (0.7324, 0.7324, 0.2299)  2 Co 2.82, 1 Os 2.83
La (0.7701, 0.2676, 0.2676)  2 Co 2.82, 1 Os 2.83
La (0.7707, 0.7707, 0.7707)  3 Co 2.79
Co (0.0000, 0.0000, 0.5000)  6 La 2.79-2.82
Co (0.0000, 0.5000, 0.0000)  6 La 2.79-2.82
Co (0.5000, 0.0000, 0.0000)  6 La 2.79-2.82
Os (0.5000, 0.5000, 0.5000)  6 La 2.83
Br (0.0000, 0.0000, 0.0000)  6 La 3.37
Br (0.0000, 0.5000, 0.5000)  6 La 3.39-3.42
Br (0.5000, 0.0000, 0.5000)  6 La 3.39-3.42
Br (0.5000, 0.5000, 0.0000)  6 La 3.39-3.42

Summary:
The value obtained for the raw total energy is -92.05 eV/cell. The value obtained for the uncorrected formation energy is -13.39 eV per formula unit.